Record 1
Computed, not measured: a geometry-optimized U2NbN3 structure at the PBE-GGA level of DFT.

V   79 Å³ per cell
VASP energy   -10.8536 eV per atom
Density of states at the Fermi level   7.033 states/eV/f.u.
Magnetization   1.2 μB/f.u.
SG   I4/mmm, No. 139
Uncorrected formation energy   -1.25 eV per atom

a b c (Å): 7.4276 7.4276 7.4276
angles (deg): 153.92 153.92 37.22
Closest atoms and distances in Å follow each position.
Atoms (fractional coordinates):
U (0.1610, 0.1610, 0.0000)  6 N 2.27-2.48
U (0.8390, 0.8390, 0.0000)  6 N 2.27-2.48
Nb (0.5000, 0.5000, 0.0000)  6 N 2.30-2.37
N (0.0000, 0.0000, 0.0000)  2 U 2.27, 4 Nb 2.37
N (0.3369, 0.3369, 0.0000)  1 Nb 2.30, 5 U 2.37-2.48
N (0.6631, 0.6631, 0.0000)  1 Nb 2.30, 5 U 2.37-2.48

Record 2
Computed, not measured: a geometry-optimized PaCrAs2Ru5 structure at the PBE-GGA level of DFT.

V   191 Å³ per cell
VASP energy   -8.1659 eV per atom
Density of states at the Fermi level   11.313 states/eV/f.u.
Energy of formation from the pure elements   145 meV/atom
Magnetization   4.3 μB/f.u.
SG   P4/mmm, No. 123

a b c (Å): 3.9839 3.9839 12.0415
angles (deg): 90.00 90.00 90.00
Closest atoms and distances in Å follow each position.
Atoms (fractional coordinates):
Pa (0.0000, 0.0000, 0.0000)  12 Ru 2.82-2.86
Cr (0.5000, 0.5000, 0.5000)  2 As 2.49
As (0.5000, 0.5000, 0.2932)  4 Ru 2.48, 1 Cr 2.49
As (0.5000, 0.5000, 0.7068)  4 Ru 2.48, 1 Cr 2.49
Ru (0.0000, 0.5000, 0.1701)  2 As 2.48
Ru (0.0000, 0.5000, 0.8299)  2 As 2.48
Ru (0.5000, 0.0000, 0.1701)  2 As 2.48
Ru (0.5000, 0.0000, 0.8299)  2 As 2.48
Ru (0.5000, 0.5000, 0.0000)  4 Pa 2.82, 8 Ru 2.86

Record 3
Computed, not measured: a geometry-optimized VAgN3 structure at the PBE-GGA level of DFT.

V   58 Å³ per cell
VASP energy   -6.5872 eV per atom
Density of states at the Fermi level   2.588 states/eV/f.u.
Magnetization   1.7 μB/f.u.
SG   Pm-3m, No. 221
Uncorrected formation energy   0.80 eV per atom

a b c (Å): 3.8661 3.8661 3.8661
angles (deg): 90.00 90.00 90.00
Closest atoms and distances in Å follow each position.
Atoms (fractional coordinates):
V (0.0000, 0.0000, 0.0000)  6 N 1.93
Ag (0.5000, 0.5000, 0.5000)  12 N 2.73
N (0.0000, 0.0000, 0.5000)  2 V 1.93
N (0.0000, 0.5000, 0.0000)  2 V 1.93
N (0.5000, 0.0000, 0.0000)  2 V 1.93

Record 4
Computed, not measured: a geometry-optimized RbCrFe2Cl structure at the PBE-GGA level of DFT.

V   150 Å³ per cell
VASP energy   -3.4958 eV per atom
Density of states at the Fermi level   3.836 states/eV/f.u.
Magnetization   10.4 μB/f.u.
SG   P4/mmm, No. 123
Uncorrected formation energy   2.38 eV per atom

a b c (Å): 4.9661 4.9661 6.0898
angles (deg): 90.00 90.00 90.00
Closest atoms and distances in Å follow each position.
Atoms (fractional coordinates):
Rb (0.0000, 0.0000, 0.0000)  4 Fe 2.48
Cr (0.0000, 0.0000, 0.5000)  2 Rb 3.04
Fe (0.0000, 0.5000, 0.0000)  2 Rb 2.48
Fe (0.5000, 0.0000, 0.0000)  2 Rb 2.48
Cl (0.5000, 0.5000, 0.5000)  4 Cr 3.51, 8 Fe 3.93